Entry 1:
First-principles (PBE) data for a relaxed P2RhNCl crystal, as listed in the Alexandria database.

Cell: 3.993 3.993 4.314 Å, 90.00 90.00 90.00°
Space group P4/mmm (No. 123)
Asymmetric unit:
P1 0.000 0.500 0.000 x2
Rh1 0.000 0.000 0.500 x1
N1 0.500 0.500 0.000 x1
Cl1 0.500 0.500 0.500 x1

Summary:
For the energy above the most stable polymorph in this dataset, the calculation gives 0.00 kcal/mol of atoms. As for the formation energy from raw total energies: 1076 meV per atom. As for the total magnetization: 0.00 μB/cell.

Entry 2:
First-principles (PBE) data for a relaxed TaFe2Re crystal, as listed in the Alexandria database.

Cell: 3.827 3.827 3.710 Å, 90.00 90.00 90.00°
Space group P4/mmm (No. 123)
Asymmetric unit:
Ta1 0.000 0.000 0.000 x1
Fe1 0.000 0.500 0.500 x2
Re1 0.500 0.500 0.000 x1

Summary:
The value obtained for the total energy is -10.28 eV/atom. As for the total magnetization: 1.79 μB/cell.

Entry 3:
First-principles (PBE) data for a relaxed KPuF6 crystal, as listed in the Alexandria database.

Cell: 5.9337 5.9337 11.5507 Å, 90.00 90.00 120.00°
Space group P-31c (No. 163)
Asymmetric unit:
K1 0.3333 0.6667 0.2500 x2
Pu1 0.0000 0.0000 0.0000 x2
F1 0.0134 0.2894 0.1051 x12

Summary:
For the energy above the most stable polymorph in this dataset, the calculation gives 0.00 kcal/mol of atoms. As for the formation energy from raw total energies: -3162 meV per atom. As for the total magnetization: 6.00 μB/cell.

Entry 4:
First-principles (PBE) data for a relaxed La6CdIr2 crystal, as listed in the Alexandria database.

Cell: 10.505 5.321 9.483 Å, 90.00 100.48 90.00°
Space group C2/m (No. 12)
Asymmetric unit:
La1 0.039 0.000 0.352 x4
La2 0.160 0.500 0.886 x4
La3 0.206 0.500 0.336 x4
Cd1 0.000 0.000 0.000 x2
Ir1 0.122 0.500 0.599 x4

Summary:
For the energy above the most stable polymorph in this dataset, the calculation gives 0.00 kcal/mol of atoms. As for the total magnetization: 0.00 μB/cell.

Entry 5:
First-principles (PBE) data for a relaxed Sr4Mo crystal, as listed in the Alexandria database.

Cell: 6.106 6.106 6.106 Å, 90.00 90.00 90.00°
Space group Pm-3m (No. 221)
Asymmetric unit:
Sr1 0.000 0.000 0.000 x1
Sr2 0.000 0.500 0.500 x3
Mo1 0.500 0.500 0.500 x1

Summary:
The value obtained for the total energy is -2.85 eV/atom. As for the total magnetization: 1.80 μB/cell.

Entry 6:
First-principles (PBE) data for a relaxed SbCl crystal, as listed in the Alexandria database.

Cell: 3.548 5.167 7.571 Å, 90.00 90.00 90.00°
Space group Pmmn (No. 59, origin choice 2)
Asymmetric unit:
Sb1 0.250 0.250 0.035 x2
Cl1 0.250 0.750 0.692 x2

Summary:
For the energy above the most stable polymorph in this dataset, the calculation gives 6.04 kcal/mol of atoms. As for the formation energy from raw total energies: -213 meV per atom. As for the total magnetization: 0.00 μB/cell.

Entry 7:
First-principles (PBE) data for a relaxed NaHfMoN2 crystal, as listed in the Alexandria database.

Cell: 4.204 4.204 5.344 Å, 90.00 90.00 90.00°
Space group P4/mmm (No. 123)
Asymmetric unit:
Na1 0.000 0.000 0.000 x1
Hf1 0.000 0.000 0.500 x1
Mo1 0.500 0.500 0.000 x1
N1 0.000 0.500 0.500 x2

Summary:
As for the formation energy from raw total energies: 1308 meV per atom. As for the total magnetization: 3.32 μB/cell.